A relaxed LiMn2Ag crystal. Source: Alexandria via LeMat-Bulk, functional GGA-PBE.

```
data_LiMn2Ag
_chemical_formula_sum 'Li1 Mn2 Ag1'
_cell_length_a 3.332
_cell_length_b 3.332
_cell_length_c 4.480
_cell_angle_alpha 90.00
_cell_angle_beta 90.00
_cell_angle_gamma 90.00
_space_group_name_H-M_alt 'P 4/m m m'
_space_group_IT_number 123
_space_group_name_Hall '-P 4 2'
loop_
_atom_site_label
_atom_site_fract_x
_atom_site_fract_y
_atom_site_fract_z
Li1 0.000 0.000 0.000
Mn1 0.000 0.500 0.500
Ag1 0.500 0.500 0.000
```

Calculated values
For the energy of formation, the calculation gives 1.84 eV per formula unit. As for the density of states at the Fermi level: 1.001 states/eV per atom.



A relaxed Li2MnAg crystal. Source: Alexandria via LeMat-Bulk, functional GGA-PBE.

```
data_Li2MnAg
_chemical_formula_sum 'Li2 Mn1 Ag1'
_cell_length_a 2.822
_cell_length_b 4.010
_cell_length_c 5.597
_cell_angle_alpha 90.00
_cell_angle_beta 90.00
_cell_angle_gamma 90.00
_space_group_name_H-M_alt 'P m m m'
_space_group_IT_number 47
loop_
_space_group_symop_operation_xyz
'x,y,z'
'-x,-y,-z'
'-x,-y,z'
'x,y,-z'
'x,-y,-z'
'-x,y,z'
'-x,y,-z'
'x,-y,z'
loop_
_atom_site_label
_atom_site_fract_x
_atom_site_fract_y
_atom_site_fract_z
Li1 0.000 0.000 0.246
Mn1 0.500 0.500 0.500
Ag1 0.500 0.500 0.000
```

Calculated values
For the energy of formation, the calculation gives 0.64 eV per formula unit. As for the density of states at the Fermi level: 0.753 states/eV per atom.



A relaxed LiMn2Ag crystal. Source: Alexandria via LeMat-Bulk, functional GGA-PBE.

```
data_LiMn2Ag
_chemical_formula_sum 'Li2 Mn4 Ag2'
_cell_length_a 9.244
_cell_length_b 2.784
_cell_length_c 4.905
_cell_angle_alpha 90.00
_cell_angle_beta 99.79
_cell_angle_gamma 90.00
_space_group_name_H-M_alt 'C 1 m 1'
_space_group_IT_number 8
loop_
_space_group_symop_operation_xyz
'x,y,z'
'x,-y,z'
'x+1/2,y+1/2,z'
'x+1/2,-y+1/2,z'
loop_
_atom_site_label
_atom_site_fract_x
_atom_site_fract_y
_atom_site_fract_z
Li1 0.000 0.000 0.000
Mn1 0.001 0.500 0.511
Mn2 0.240 0.000 0.735
Ag1 0.250 0.500 0.238
```

Calculated values
For the energy of formation, the calculation gives 1.38 eV per formula unit. As for the density of states at the Fermi level: 0.762 states/eV per atom.